(1)
Entry from Alexandria via LeMat-Bulk: a geometry-optimized Ba4TaSe structure (PBEsol).

The uncorrected energy comes out at -3.2955 eV per atom. The value obtained for the formation energy without anion corrections is 84 kJ per mole of atoms. The calculation puts the calculated volume at 901.5 Å³/cell.

The space group is F-43m (No. 216) and the conventional cell measures 9.660, 9.660 and 9.660 Å, with angles of 90.00, 90.00 and 90.00 degrees. The inequivalent atoms are Ba at (0.125, 0.125, 0.125), Ta at (0.000, 0.000, 0.500) and Se at (0.250, 0.250, 0.750).



(2)
Entry from Alexandria via LeMat-Bulk: a geometry-optimized NbCu3B structure (PBEsol).

The uncorrected energy comes out at -5.8560 eV per atom. The calculation puts the calculated volume at 60.2 Å³/cell. For the energy relative to the elements, the calculation gives 312 meV per atom.

The space group is Pm-3m (No. 221) and the conventional cell measures 3.918, 3.918 and 3.918 Å, with angles of 90.00, 90.00 and 90.00 degrees. The inequivalent atoms are Nb at (0.000, 0.000, 0.000), Cu at (0.000, 0.500, 0.500) and B at (0.500, 0.500, 0.500).